1.
Density functional theory data (PBE-GGA) for a geometry-optimized KSiPO2 structure.

Unit cell a=4.4242 b=4.4242 c=6.1880 alpha=90.00 beta=90.00 gamma=90.00
Last column: nearest neighbours and their distance in Å.
Fractional coordinates of all 5 atoms:
K 0.0000 0.0000 0.0000  4 O 2.21
Si 0.5000 0.5000 0.5000  4 P 3.13
P 0.0000 0.0000 0.5000  2 K 3.09, 4 Si 3.13
O 0.0000 0.5000 0.0000  2 K 2.21
O 0.5000 0.0000 0.0000  2 K 2.21

Output
E_form (uncorrected) in meV/atom: 1332
Excess energy over the best structure of this formula in the dataset in eV per formula unit: 9.58
Space-group type: P4/mmm
DOS at the Fermi energy in states/eV/cell: 6.1

---

2.
Density functional theory data (PBE-GGA) for a geometry-optimized KSiPO2 structure.

Unit cell a=3.9733 b=3.9733 c=5.7002 alpha=90.00 beta=90.00 gamma=90.00
Last column: nearest neighbours and their distance in Å.
Fractional coordinates of all 5 atoms:
K 0.0000 0.0000 0.0000  4 Si 2.81, 2 P 2.85
Si 0.5000 0.5000 0.0000  4 K 2.81
P 0.0000 0.0000 0.5000  4 O 1.99
O 0.0000 0.5000 0.5000  2 P 1.99
O 0.5000 0.0000 0.5000  2 P 1.99

Output
E_form (uncorrected) in meV/atom: 586
Excess energy over the best structure of this formula in the dataset in eV per formula unit: 5.85
Space-group type: P4/mmm
DOS at the Fermi energy in states/eV/cell: 3.5

---

3.
Density functional theory data (PBE-GGA) for a geometry-optimized KSiP2O8 structure.

Unit cell a=4.7874 b=4.7874 c=8.2418 alpha=90.00 beta=90.00 gamma=120.00
Last column: nearest neighbours and their distance in Å.
Fractional coordinates of all 12 atoms:
K 0.0000 0.0000 0.0000  6 O 2.95
Si 0.0000 0.0000 0.5000  6 O 1.77
P 0.3333 0.6667 0.6898  4 O 1.52-1.55
P 0.6667 0.3333 0.3102  4 O 1.52-1.55
O 0.0760 0.3295 0.6268  1 P 1.55
O 0.2535 0.9240 0.6268  1 P 1.55
O 0.3295 0.2535 0.3732  1 P 1.55
O 0.3333 0.6667 0.8738  1 P 1.52
O 0.6667 0.3333 0.1262  1 P 1.52
O 0.6705 0.7465 0.6268  1 P 1.55
O 0.7465 0.0760 0.3732  1 P 1.55
O 0.9240 0.6705 0.3732  1 P 1.55

Output
E_form (uncorrected) in meV/atom: -2175
Space-group type: P-3
DOS at the Fermi energy in states/eV/cell: 6.7

---

4.
Density functional theory data (PBE-GGA) for a geometry-optimized KTi3Si2P6O25 structure.

Unit cell a=8.4549 b=8.4549 c=17.2523 alpha=90.00 beta=90.00 gamma=120.00
Last column: nearest neighbours and their distance in Å.
Fractional coordinates of all 74 atoms:
K 0.3333 0.6667 0.2500  6 O 3.10
K 0.6667 0.3333 0.7500  6 O 3.10
Ti 0.3333 0.6667 0.0253  6 O 1.99
Ti 0.3333 0.6667 0.4747  6 O 1.99
Ti 0.3333 0.6667 0.7500  6 O 1.96
Ti 0.6667 0.3333 0.2500  6 O 1.96
Ti 0.6667 0.3333 0.5253  6 O 1.99
Ti 0.6667 0.3333 0.9747  6 O 1.99
Si 0.0000 0.0000 0.0927  4 O 1.60-1.63
Si 0.0000 0.0000 0.4073  4 O 1.60-1.63
Si 0.0000 0.0000 0.5927  4 O 1.60-1.63
Si 0.0000 0.0000 0.9073  4 O 1.60-1.63
P 0.0506 0.3827 0.6098  4 O 1.52-1.59
P 0.0506 0.6679 0.8902  4 O 1.52-1.59
P 0.3321 0.3827 0.8902  4 O 1.52-1.59
P 0.3321 0.9494 0.6098  4 O 1.52-1.59
P 0.3827 0.0506 0.1098  4 O 1.52-1.59
P 0.3827 0.3321 0.3902  4 O 1.52-1.59
P 0.6173 0.6679 0.6098  4 O 1.52-1.59
P 0.6173 0.9494 0.8902  4 O 1.52-1.59
P 0.6679 0.0506 0.3902  4 O 1.52-1.59
P 0.6679 0.6173 0.1098  4 O 1.52-1.59
P 0.9494 0.3321 0.1098  4 O 1.52-1.59
P 0.9494 0.6173 0.3902  4 O 1.52-1.59
O 0.0000 0.0000 0.0000  2 Si 1.60
O 0.0000 0.0000 0.5000  2 Si 1.60
O 0.0109 0.1850 0.1263  1 P 1.59, 1 Si 1.63
O 0.0109 0.8259 0.3737  1 P 1.59, 1 Si 1.63
O 0.1251 0.5136 0.0954  1 P 1.53
O 0.1251 0.6115 0.4046  1 P 1.53
O 0.1374 0.4808 0.6854  1 P 1.52
O 0.1374 0.6566 0.8146  1 P 1.52
O 0.1741 0.1850 0.3737  1 P 1.59, 1 Si 1.63
O 0.1741 0.9891 0.1263  1 P 1.59, 1 Si 1.63
O 0.1816 0.4481 0.5406  1 P 1.53
O 0.1816 0.7335 0.9594  1 P 1.53
O 0.1850 0.0109 0.6263  1 P 1.59, 1 Si 1.63
O 0.1850 0.1741 0.8737  1 P 1.59, 1 Si 1.63
O 0.2665 0.4481 0.9594  1 P 1.53
O 0.2665 0.8184 0.5406  1 P 1.53
O 0.3434 0.4808 0.8146  1 P 1.52
O 0.3434 0.8626 0.6854  1 P 1.52
O 0.3885 0.5136 0.4046  1 P 1.53
O 0.3885 0.8749 0.0954  1 P 1.53
O 0.4481 0.1816 0.0406  1 P 1.53
O 0.4481 0.2665 0.4594  1 P 1.53
O 0.4808 0.1374 0.1854  1 P 1.52
O 0.4808 0.3434 0.3146  1 P 1.52
O 0.4864 0.6115 0.0954  1 P 1.53
O 0.4864 0.8749 0.4046  1 P 1.53
O 0.5136 0.1251 0.5954  1 P 1.53
O 0.5136 0.3885 0.9046  1 P 1.53
O 0.5192 0.6566 0.6854  1 P 1.52
O 0.5192 0.8626 0.8146  1 P 1.52
O 0.5519 0.7335 0.5406  1 P 1.53
O 0.5519 0.8184 0.9594  1 P 1.53
O 0.6115 0.1251 0.9046  1 P 1.53
O 0.6115 0.4864 0.5954  1 P 1.53
O 0.6566 0.1374 0.3146  1 P 1.52
O 0.6566 0.5192 0.1854  1 P 1.52
O 0.7335 0.1816 0.4594  1 P 1.53
O 0.7335 0.5519 0.0406  1 P 1.53
O 0.8150 0.8259 0.1263  1 P 1.59, 1 Si 1.63
O 0.8150 0.9891 0.3737  1 P 1.59, 1 Si 1.63
O 0.8184 0.2665 0.0406  1 P 1.53
O 0.8184 0.5519 0.4594  1 P 1.53
O 0.8259 0.0109 0.8737  1 P 1.59, 1 Si 1.63
O 0.8259 0.8150 0.6263  1 P 1.59, 1 Si 1.63
O 0.8626 0.3434 0.1854  1 P 1.52
O 0.8626 0.5192 0.3146  1 P 1.52
O 0.8749 0.3885 0.5954  1 P 1.53
O 0.8749 0.4864 0.9046  1 P 1.53
O 0.9891 0.1741 0.6263  1 P 1.59, 1 Si 1.63
O 0.9891 0.8150 0.8737  1 P 1.59, 1 Si 1.63

Output
E_form (uncorrected) in meV/atom: -2525
Space-group type: P-31c
DOS at the Fermi energy in states/eV/cell: 17.2

---

5.
Density functional theory data (PBE-GGA) for a geometry-optimized KSmP2O8 structure.

Unit cell a=5.6455 b=5.6455 c=7.8406 alpha=90.00 beta=90.00 gamma=120.00
Last column: nearest neighbours and their distance in Å.
Fractional coordinates of all 12 atoms:
K 0.0000 0.0000 0.0000  12 O 3.06-3.29
Sm 0.0000 0.0000 0.5000  6 O 2.31
P 0.3333 0.6667 0.7476  4 O 1.54-1.55
P 0.6667 0.3333 0.2524  4 O 1.54-1.55
O 0.1831 0.3680 0.6844  1 P 1.54
O 0.1849 0.8169 0.6844  1 P 1.54
O 0.3333 0.6667 0.9456  1 P 1.55
O 0.3680 0.1849 0.3156  1 P 1.54
O 0.6320 0.8151 0.6844  1 P 1.54
O 0.6667 0.3333 0.0544  1 P 1.55
O 0.8151 0.1831 0.3156  1 P 1.54
O 0.8169 0.6320 0.3156  1 P 1.54

Output
E_form (uncorrected) in meV/atom: -2269
Space-group type: P-3
DOS at the Fermi energy in states/eV/cell: 11.0

---

6.
Density functional theory data (PBE-GGA) for a geometry-optimized KSmP4O12 structure.

Unit cell a=7.5359 b=7.5359 c=10.7051 alpha=100.96 beta=100.96 gamma=115.56
Last column: nearest neighbours and their distance in Å.
Fractional coordinates of all 36 atoms:
K 0.1897 0.8103 0.7500  6 O 2.79-2.99
K 0.8103 0.1897 0.2500  6 O 2.79-2.99
Sm 0.1209 0.8791 0.2500  8 O 2.40-2.47
Sm 0.8791 0.1209 0.7500  8 O 2.40-2.47
P 0.2513 0.3048 0.5495  4 O 1.49-1.63
P 0.2866 0.6213 0.0047  4 O 1.50-1.63
P 0.3048 0.2513 0.0495  4 O 1.49-1.63
P 0.3787 0.7134 0.4953  4 O 1.50-1.63
P 0.6213 0.2866 0.5047  4 O 1.50-1.63
P 0.6952 0.7487 0.9505  4 O 1.49-1.63
P 0.7134 0.3787 0.9953  4 O 1.50-1.63
P 0.7487 0.6952 0.4505  4 O 1.49-1.63
O 0.0938 0.4873 0.8880  1 P 1.50
O 0.1390 0.1707 0.4064  1 P 1.51
O 0.1703 0.2415 0.6592  1 P 1.49
O 0.1707 0.1390 0.9064  1 P 1.51
O 0.1999 0.6986 0.3951  1 P 1.50
O 0.2415 0.1703 0.1592  1 P 1.49
O 0.2784 0.5325 0.5629  2 P 1.61-1.63
O 0.3014 0.8001 0.1049  1 P 1.50
O 0.3537 0.4905 0.0862  2 P 1.61-1.63
O 0.4675 0.7216 0.9371  2 P 1.61-1.63
O 0.4873 0.0938 0.3880  1 P 1.50
O 0.4905 0.3537 0.5862  2 P 1.61-1.63
O 0.5095 0.6463 0.4138  2 P 1.61-1.63
O 0.5127 0.9062 0.6120  1 P 1.50
O 0.5325 0.2784 0.0629  2 P 1.61-1.63
O 0.6463 0.5095 0.9138  2 P 1.61-1.63
O 0.6986 0.1999 0.8951  1 P 1.50
O 0.7216 0.4675 0.4371  2 P 1.61-1.63
O 0.7585 0.8297 0.8408  1 P 1.49
O 0.8001 0.3014 0.6049  1 P 1.50
O 0.8293 0.8610 0.0936  1 P 1.51
O 0.8297 0.7585 0.3408  1 P 1.49
O 0.8610 0.8293 0.5936  1 P 1.51
O 0.9062 0.5127 0.1120  1 P 1.50

Output
E_form (uncorrected) in meV/atom: -2452
Space-group type: C2/c
DOS at the Fermi energy in states/eV/cell: 0.0

---

7.
Density functional theory data (PBE-GGA) for a geometry-optimized KSmP2O6 structure.

Unit cell a=6.8752 b=6.8752 c=8.6089 alpha=93.48 beta=93.48 gamma=112.64
Last column: nearest neighbours and their distance in Å.
Fractional coordinates of all 20 atoms:
K 0.0914 0.9086 0.7500  4 O 2.61-2.88
K 0.9086 0.0914 0.2500  4 O 2.61-2.88
Sm 0.3428 0.6572 0.2500  6 O 2.30-2.38
Sm 0.6572 0.3428 0.7500  6 O 2.30-2.38
P 0.2463 0.5101 0.8108  3 O 1.53-1.55
P 0.4899 0.7537 0.6892  3 O 1.53-1.55
P 0.5101 0.2463 0.3108  3 O 1.53-1.55
P 0.7537 0.4899 0.1892  3 O 1.53-1.55
O 0.0218 0.4673 0.7359  1 P 1.55
O 0.2732 0.5929 0.9834  1 P 1.53
O 0.3067 0.3166 0.7825  1 P 1.55
O 0.3166 0.3067 0.2825  1 P 1.55
O 0.4071 0.7268 0.5166  1 P 1.53
O 0.4673 0.0218 0.2359  1 P 1.55
O 0.5327 0.9782 0.7641  1 P 1.55
O 0.5929 0.2732 0.4834  1 P 1.53
O 0.6834 0.6933 0.7175  1 P 1.55
O 0.6933 0.6834 0.2175  1 P 1.55
O 0.7268 0.4071 0.0166  1 P 1.53
O 0.9782 0.5327 0.2641  1 P 1.55

Output
E_form (uncorrected) in meV/atom: -2549
Space-group type: C2/c
DOS at the Fermi energy in states/eV/cell: 0.0

---

8.
Density functional theory data (PBE-GGA) for a geometry-optimized KSnP2O6 structure.

Unit cell a=7.4214 b=7.4214 c=6.0880 alpha=101.84 beta=101.84 gamma=86.88
Last column: nearest neighbours and their distance in Å.
Fractional coordinates of all 20 atoms:
K 0.1551 0.8449 0.7500  8 O 2.72-3.04
K 0.8449 0.1551 0.2500  8 O 2.72-3.04
Sn 0.3639 0.6361 0.2500  4 O 2.24-2.50
Sn 0.6361 0.3639 0.7500  4 O 2.24-2.50
P 0.1382 0.3101 0.7668  3 O 1.53-1.58
P 0.3101 0.1382 0.2668  3 O 1.53-1.58
P 0.6899 0.8618 0.7332  3 O 1.53-1.58
P 0.8618 0.6899 0.2332  3 O 1.53-1.58
O 0.0734 0.6713 0.3029  1 P 1.55
O 0.1674 0.2159 0.0774  1 P 1.58
O 0.2159 0.1674 0.5774  1 P 1.58
O 0.2384 0.4941 0.8411  1 P 1.53
O 0.3287 0.9266 0.1971  1 P 1.55
O 0.4941 0.2384 0.3411  1 P 1.53
O 0.5059 0.7616 0.6589  1 P 1.53
O 0.6713 0.0734 0.8029  1 P 1.55
O 0.7616 0.5059 0.1589  1 P 1.53
O 0.7841 0.8326 0.4226  1 P 1.58
O 0.8326 0.7841 0.9226  1 P 1.58
O 0.9266 0.3287 0.6971  1 P 1.55

Output
E_form (uncorrected) in meV/atom: -1737
Space-group type: C2/c
DOS at the Fermi energy in states/eV/cell: 3.0